A plane-wave DFT calculation with PBE+U was carried out for InCoIrO6 after structural relaxation.

Lattice parameters (Å, degrees): 5.3183 5.3183 8.5421 90.00 90.00 120.00
Last column: nearest neighbours and their distance in Å.
Element x y z (fractional)
In1 0.3333 0.6667 0.2500  6 O 2.17
In2 0.6667 0.3333 0.7500  6 O 2.17
Co1 0.0000 0.0000 0.0000  6 O 2.12
Co2 0.0000 0.0000 0.5000  6 O 2.12
Ir1 0.3333 0.6667 0.7500  6 O 1.94
Ir2 0.6667 0.3333 0.2500  6 O 1.94
O1 0.0340 0.3618 0.6234  1 Ir 1.94, 1 Co 2.12
O2 0.0340 0.6722 0.8766  1 Ir 1.94, 1 Co 2.12
O3 0.3278 0.3618 0.8766  1 Ir 1.94, 1 Co 2.12
O4 0.3278 0.9660 0.6234  1 Ir 1.94, 1 Co 2.12
O5 0.3618 0.0340 0.1234  1 Ir 1.94, 1 Co 2.12
O6 0.3618 0.3278 0.3766  1 Ir 1.94, 1 Co 2.12
O7 0.6382 0.6722 0.6234  1 Ir 1.94, 1 Co 2.12
O8 0.6382 0.9660 0.8766  1 Ir 1.94, 1 Co 2.12
O9 0.6722 0.0340 0.3766  1 Ir 1.94, 1 Co 2.12
O10 0.6722 0.6382 0.1234  1 Ir 1.94, 1 Co 2.12
O11 0.9660 0.3278 0.1234  1 Ir 1.94, 1 Co 2.12
O12 0.9660 0.6382 0.3766  1 Ir 1.94, 1 Co 2.12

Summary:
* raw total energy: -5.967 eV per atom
* symmetry: P-31c (163)
* size of the total moment: 5.15 Bohr magnetons per cell